1.
A relaxed Sr3MnI8 crystal, computed with PBE.

Unit cell a=8.235 b=8.235 c=9.197 alpha=90.00 beta=90.00 gamma=110.93
Sites, in units of the cell vectors:
Sr 0.000 0.000 0.000
Sr 0.000 0.500 0.746
Sr 0.500 0.000 0.254
Mn 0.000 0.000 0.500
I 0.213 0.787 0.500
I 0.222 0.237 0.726
I 0.237 0.222 0.274
I 0.243 0.757 0.000
I 0.757 0.243 0.000
I 0.763 0.778 0.274
I 0.778 0.763 0.726
I 0.787 0.213 0.500

Properties
energy: -0.131 hartree per atom
formation energy without anion corrections: -1354 meV/atom
space-group type: No. 21

=====

2.
A relaxed Cs2TlAu2I6 crystal, computed with PBE.

Unit cell a=8.632 b=8.632 c=10.320 alpha=114.32 beta=114.32 gamma=54.27
Sites, in units of the cell vectors:
Cs 0.204 0.204 0.218
Cs 0.796 0.796 0.782
Tl 0.000 0.000 0.500
Au 0.446 0.446 0.750
Au 0.554 0.554 0.250
I 0.163 0.694 0.176
I 0.251 0.251 0.628
I 0.306 0.837 0.824
I 0.694 0.163 0.176
I 0.749 0.749 0.372
I 0.837 0.306 0.824

Properties
energy: -0.091 hartree per atom
formation energy without anion corrections: -673 meV/atom
space-group type: No. 12

=====

3.
A relaxed Pr6NdSmTm2 crystal, computed with PBE.

Unit cell a=8.987 b=8.987 c=9.795 alpha=94.11 beta=94.11 gamma=116.93
Sites, in units of the cell vectors:
Pr 0.011 0.563 0.183
Pr 0.108 0.760 0.556
Pr 0.240 0.892 0.944
Pr 0.297 0.513 0.381
Pr 0.437 0.989 0.317
Pr 0.487 0.703 0.119
Pr 0.513 0.297 0.881
Pr 0.563 0.011 0.683
Pr 0.703 0.487 0.619
Pr 0.760 0.108 0.056
Pr 0.892 0.240 0.444
Pr 0.989 0.437 0.817
Nd 0.407 0.593 0.750
Nd 0.593 0.407 0.250
Sm 0.032 0.968 0.250
Sm 0.968 0.032 0.750
Tm 0.198 0.292 0.049
Tm 0.292 0.198 0.549
Tm 0.708 0.802 0.451
Tm 0.802 0.708 0.951

Properties
energy: -0.169 hartree per atom
formation energy from the elements: 1.109 eV/f.u.
space-group type: No. 15

=====

4.
A relaxed AcCePmGe crystal, computed with PBE.

Unit cell a=5.478 b=5.478 c=5.478 alpha=60.00 beta=60.00 gamma=60.00
Sites, in units of the cell vectors:
Ac 0.000 0.000 0.000
Ce 0.750 0.750 0.750
Pm 0.250 0.250 0.250
Ge 0.500 0.500 0.500

Properties
energy: -0.179 hartree per atom
formation energy from the elements: -0.036 eV/f.u.
space-group type: No. 216